# 1
{"formula": "LiMn2TlS", "functional": "PBE", "state": "optimized geometry", "lattice": [[4.5868, 0.0000, 0.0000], [0.0000, 4.7606, 0.0000], [0.0000, 0.0000, 4.5868]], "species": ["Li", "Mn", "S", "Mn", "Tl"], "fractional_positions": [[0.0000, 0.0000, 0.0000], [0.5000, 0.0000, 0.0000], [0.5000, 0.5000, 0.5000], [0.0000, 0.0000, 0.5000], [0.0000, 0.5000, 0.0000]], "dos_ef_per_ev_fu": 1.311, "energy_ry_per_atom": -0.3351, "m_tot_mub_per_atom": 1.644, "e_form_raw_ev_per_atom": 0.79}

# 2
{"formula": "ZnOs3Rh", "functional": "PBE", "state": "optimized geometry", "lattice": [[4.4138, 0.0000, 0.0000], [0.0000, 4.4138, 0.0000], [0.0000, 0.0000, 4.4138]], "species": ["Os", "Rh", "Os", "Zn", "Os"], "fractional_positions": [[0.5000, 0.0000, 0.0000], [0.5000, 0.5000, 0.5000], [0.0000, 0.0000, 0.5000], [0.0000, 0.0000, 0.0000], [0.0000, 0.5000, 0.0000]], "polymorph_energy_ev_per_atom": 0.0000, "delta_e_f_ev_per_atom": 2.175, "dos_ef_per_ev_fu": 7.859, "energy_ry_per_atom": -0.4622, "m_tot_mub_per_atom": 0.000}

# 3
{"formula": "MgVGaTc", "functional": "PBE", "state": "optimized geometry", "lattice": [[-3.5219, -0.2640, 2.5818], [-1.3649, -3.8968, 1.4461], [0.4569, -1.0487, 4.2226]], "species": ["Ga", "Mg", "V", "Tc"], "fractional_positions": [[0.2500, 0.2500, 0.2500], [0.5000, 0.5000, 0.5000], [0.0000, 0.0000, 0.0000], [0.7500, 0.7500, 0.7500]], "delta_e_f_ev_per_atom": -0.041, "dos_ef_per_ev_fu": 3.179, "energy_ry_per_atom": -0.4459, "m_tot_mub_per_atom": 0.120}

# 4
{"formula": "Ac2LaGe", "functional": "PBE", "state": "optimized geometry", "lattice": [[4.9380, 0.0000, 0.0000], [0.0000, 5.1719, 0.0000], [0.0000, 0.0000, 5.1719]], "species": ["La", "Ac", "Ge", "Ac"], "fractional_positions": [[0.5000, 0.5000, 0.5000], [0.0000, 0.5000, 0.0000], [0.5000, 0.0000, 0.0000], [0.0000, 0.0000, 0.5000]], "polymorph_energy_ev_per_atom": 0.0000, "delta_e_f_ev_per_atom": -0.241, "dos_ef_per_ev_fu": 4.710, "energy_ry_per_atom": -0.3441, "m_tot_mub_per_atom": 0.000}